1.
Crystalline CaNpS2 at its relaxed geometry. Source: Alexandria via LeMat-Bulk, functional PBE.

Computed properties:
The uncorrected formation energy comes out at -1.66 eV per atom. The mass density comes out at 6.34 g/cm3. The value obtained for the magnetization is 4.6 μB per cell.

```
CaNpS2
1.0
1.982 1.144 6.564
-1.982 1.144 6.564
0.000 -2.289 6.564
Ca Np S
1 1 2
Direct
0.000 0.000 0.000
0.500 0.500 0.500
0.248 0.248 0.248
0.752 0.752 0.752
```



2.
Crystalline CuSbBr4 at its relaxed geometry. Source: Alexandria via LeMat-Bulk, functional PBE.

Computed properties:
The uncorrected formation energy comes out at -0.45 eV per atom. The mass density comes out at 4.17 g/cm3. The value obtained for the magnetization is 0.0 μB per cell.

```
CuSbBr4
1.0
4.086 -9.590 0.000
4.086 9.590 0.000
-3.995 0.000 5.132
Cu Sb Br
2 2 8
Direct
0.130 0.870 0.750
0.870 0.130 0.250
0.319 0.681 0.250
0.681 0.319 0.750
0.012 0.406 0.698
0.199 0.357 0.275
0.357 0.199 0.775
0.406 0.012 0.198
0.594 0.988 0.802
0.643 0.801 0.225
0.801 0.643 0.725
0.988 0.594 0.302
```



3.
Crystalline NaPuSnPb at its relaxed geometry. Source: Alexandria via LeMat-Bulk, functional PBE.

Computed properties:
The mass density comes out at 9.03 g/cm3. The value obtained for the magnetization is 5.9 μB per cell. As for the formation energy: -0.20 eV/atom.

```
NaPuSnPb
1.0
3.298 0.000 0.000
0.000 3.298 0.000
0.000 0.000 10.020
Na Pu Sn Pb
1 1 1 1
Direct
0.000 0.000 0.000
0.000 0.000 0.486
0.500 0.500 0.246
0.500 0.500 0.742
```



Calculated excess energy over the best structure of this formula in the dataset, 0 0 0 meV per atom (same order as the records).